No. 1
# PBE Ca2Zn3Au9, optimized geometry
data_Ca2Zn3Au9
_cell_length_a 7.935
_cell_length_b 7.935
_cell_length_c 10.887
_cell_angle_alpha 111.18
_cell_angle_beta 111.18
_cell_angle_gamma 60.15
_symmetry_space_group_name_H-M 'P 1'
_symmetry_Int_Tables_number 1
loop_
_symmetry_equiv_pos_as_xyz
'x,y,z'
loop_
_atom_site_label
_atom_site_fract_x
_atom_site_fract_y
_atom_site_fract_z
Ca1 0.083 0.250 0.250
Ca2 0.250 0.083 0.750
Ca3 0.750 0.917 0.250
Ca4 0.917 0.750 0.750
Zn1 0.000 0.500 0.000
Zn2 0.147 0.676 0.500
Zn3 0.324 0.853 0.000
Zn4 0.500 0.000 0.500
Zn5 0.676 0.147 0.000
Zn6 0.853 0.324 0.500
Au1 0.030 0.849 0.068
Au2 0.151 0.970 0.432
Au3 0.196 0.355 0.566
Au4 0.198 0.585 0.252
Au5 0.308 0.474 0.922
Au6 0.355 0.196 0.066
Au7 0.363 0.637 0.750
Au8 0.415 0.802 0.248
Au9 0.474 0.308 0.422
Au10 0.526 0.692 0.578
Au11 0.585 0.198 0.752
Au12 0.637 0.363 0.250
Au13 0.645 0.804 0.934
Au14 0.692 0.526 0.078
Au15 0.802 0.415 0.748
Au16 0.804 0.645 0.434
Au17 0.849 0.030 0.568
Au18 0.970 0.151 0.932
# SG: C2/c (15)
# Energy of formation from the pure elements: -6.3 eV/f.u.

***

No. 2
# PBE CaZn4Au6, optimized geometry
data_CaZn4Au6
_cell_length_a 7.538
_cell_length_b 7.538
_cell_length_c 4.158
_cell_angle_alpha 90.00
_cell_angle_beta 90.00
_cell_angle_gamma 120.00
_symmetry_space_group_name_H-M 'P 1'
_symmetry_Int_Tables_number 1
loop_
_symmetry_equiv_pos_as_xyz
'x,y,z'
loop_
_atom_site_label
_atom_site_fract_x
_atom_site_fract_y
_atom_site_fract_z
Ca1 0.000 0.000 0.000
Zn1 0.201 0.401 0.500
Zn2 0.201 0.799 0.500
Zn3 0.599 0.799 0.500
Zn4 0.667 0.333 0.000
Au1 0.067 0.534 0.000
Au2 0.387 0.193 0.500
Au3 0.466 0.534 0.000
Au4 0.466 0.933 0.000
Au5 0.807 0.193 0.500
Au6 0.807 0.613 0.500
# SG: P-6m2 (187)
# Energy of formation from the pure elements: -3.6 eV/f.u.

***

No. 3
# PBE Ca3Zn2Au9, optimized geometry
data_Ca3Zn2Au9
_cell_length_a 8.723
_cell_length_b 8.723
_cell_length_c 8.723
_cell_angle_alpha 152.36
_cell_angle_beta 102.20
_cell_angle_gamma 84.42
_symmetry_space_group_name_H-M 'P 1'
_symmetry_Int_Tables_number 1
loop_
_symmetry_equiv_pos_as_xyz
'x,y,z'
loop_
_atom_site_label
_atom_site_fract_x
_atom_site_fract_y
_atom_site_fract_z
Ca1 0.000 0.000 0.000
Ca2 0.300 0.300 0.000
Ca3 0.700 0.700 0.000
Zn1 0.304 0.500 0.804
Zn2 0.696 0.500 0.196
Au1 0.025 0.650 0.375
Au2 0.162 0.866 0.296
Au3 0.275 0.650 0.625
Au4 0.431 0.134 0.296
Au5 0.500 0.000 0.500
Au6 0.569 0.866 0.704
Au7 0.725 0.350 0.375
Au8 0.838 0.134 0.704
Au9 0.975 0.350 0.625
# SG: Immm (71)
# Energy of formation from the pure elements: -7.3 eV/f.u.

***

No. 4
# PBE CaZn5Au6, optimized geometry
data_CaZn5Au6
_cell_length_a 7.771
_cell_length_b 7.771
_cell_length_c 4.629
_cell_angle_alpha 104.54
_cell_angle_beta 104.54
_cell_angle_gamma 51.49
_symmetry_space_group_name_H-M 'P 1'
_symmetry_Int_Tables_number 1
loop_
_symmetry_equiv_pos_as_xyz
'x,y,z'
loop_
_atom_site_label
_atom_site_fract_x
_atom_site_fract_y
_atom_site_fract_z
Ca1 0.000 0.000 0.000
Zn1 0.153 0.153 0.634
Zn2 0.329 0.329 0.321
Zn3 0.500 0.500 0.000
Zn4 0.671 0.671 0.679
Zn5 0.847 0.847 0.366
Au1 0.095 0.550 0.819
Au2 0.278 0.722 0.500
Au3 0.450 0.905 0.181
Au4 0.550 0.095 0.819
Au5 0.722 0.278 0.500
Au6 0.905 0.450 0.181
# SG: C2/m (12)
# Energy of formation from the pure elements: -3.5 eV/f.u.

***

No. 5
# PBE Ca3Zn2Au7, optimized geometry
data_Ca3Zn2Au7
_cell_length_a 13.945
_cell_length_b 13.945
_cell_length_c 4.061
_cell_angle_alpha 90.00
_cell_angle_beta 90.00
_cell_angle_gamma 159.02
_symmetry_space_group_name_H-M 'P 1'
_symmetry_Int_Tables_number 1
loop_
_symmetry_equiv_pos_as_xyz
'x,y,z'
loop_
_atom_site_label
_atom_site_fract_x
_atom_site_fract_y
_atom_site_fract_z
Ca1 0.000 0.000 0.000
Ca2 0.196 0.804 0.000
Ca3 0.804 0.196 0.000
Zn1 0.408 0.592 0.500
Zn2 0.592 0.408 0.500
Au1 0.085 0.915 0.500
Au2 0.279 0.721 0.500
Au3 0.354 0.646 0.000
Au4 0.500 0.500 0.500
Au5 0.646 0.354 0.000
Au6 0.721 0.279 0.500
Au7 0.915 0.085 0.500
# SG: Cmmm (65)
# Energy of formation from the pure elements: -5.3 eV/f.u.

***

No. 6
# PBE CaZn2Au3, optimized geometry
data_CaZn2Au3
_cell_length_a 6.873
_cell_length_b 6.873
_cell_length_c 5.330
_cell_angle_alpha 90.00
_cell_angle_beta 90.00
_cell_angle_gamma 82.67
_symmetry_space_group_name_H-M 'P 1'
_symmetry_Int_Tables_number 1
loop_
_symmetry_equiv_pos_as_xyz
'x,y,z'
loop_
_atom_site_label
_atom_site_fract_x
_atom_site_fract_y
_atom_site_fract_z
Ca1 0.208 0.792 0.750
Ca2 0.792 0.208 0.250
Zn1 0.275 0.275 0.000
Zn2 0.275 0.275 0.500
Zn3 0.725 0.725 0.000
Zn4 0.725 0.725 0.500
Au1 0.036 0.591 0.250
Au2 0.409 0.964 0.250
Au3 0.444 0.556 0.250
Au4 0.556 0.444 0.750
Au5 0.591 0.036 0.750
Au6 0.964 0.409 0.750
# SG: Cmcm (63)
# Energy of formation from the pure elements: -2.7 eV/f.u.

***

No. 7
# PBE Ca2Zn6Au, optimized geometry
data_Ca2Zn6Au
_cell_length_a 5.694
_cell_length_b 5.694
_cell_length_c 6.153
_cell_angle_alpha 90.00
_cell_angle_beta 90.00
_cell_angle_gamma 120.00
_symmetry_space_group_name_H-M 'P 1'
_symmetry_Int_Tables_number 1
loop_
_symmetry_equiv_pos_as_xyz
'x,y,z'
loop_
_atom_site_label
_atom_site_fract_x
_atom_site_fract_y
_atom_site_fract_z
Ca1 0.333 0.667 0.364
Ca2 0.667 0.333 0.636
Zn1 0.176 0.351 0.842
Zn2 0.176 0.824 0.842
Zn3 0.351 0.176 0.158
Zn4 0.649 0.824 0.842
Zn5 0.824 0.176 0.158
Zn6 0.824 0.649 0.158
Au1 0.000 0.000 0.500
# SG: P-3m1 (164)
# Energy of formation from the pure elements: -2.8 eV/f.u.

***

No. 8
# PBE CaZn4Au, optimized geometry
data_CaZn4Au
_cell_length_a 5.295
_cell_length_b 5.295
_cell_length_c 5.295
_cell_angle_alpha 60.00
_cell_angle_beta 60.00
_cell_angle_gamma 60.00
_symmetry_space_group_name_H-M 'P 1'
_symmetry_Int_Tables_number 1
loop_
_symmetry_equiv_pos_as_xyz
'x,y,z'
loop_
_atom_site_label
_atom_site_fract_x
_atom_site_fract_y
_atom_site_fract_z
Ca1 0.000 0.000 0.000
Zn1 0.126 0.625 0.625
Zn2 0.625 0.126 0.625
Zn3 0.625 0.625 0.126
Zn4 0.625 0.625 0.625
Au1 0.250 0.250 0.250
# SG: F-43m (216)
# Energy of formation from the pure elements: -1.4 eV/f.u.

***

No. 9
# PBE Ca2ZnAu3, optimized geometry
data_Ca2ZnAu3
_cell_length_a 9.321
_cell_length_b 8.835
_cell_length_c 5.907
_cell_angle_alpha 75.54
_cell_angle_beta 66.61
_cell_angle_gamma 37.85
_symmetry_space_group_name_H-M 'P 1'
_symmetry_Int_Tables_number 1
loop_
_symmetry_equiv_pos_as_xyz
'x,y,z'
loop_
_atom_site_label
_atom_site_fract_x
_atom_site_fract_y
_atom_site_fract_z
Ca1 0.246 0.754 0.754
Ca2 0.250 0.250 0.250
Ca3 0.750 0.750 0.750
Ca4 0.754 0.246 0.246
Zn1 0.333 0.333 0.667
Zn2 0.667 0.667 0.333
Au1 0.173 0.173 0.827
Au2 0.174 0.652 0.348
Au3 0.348 0.826 0.174
Au4 0.652 0.174 0.826
Au5 0.826 0.348 0.652
Au6 0.827 0.827 0.173
# SG: Fmmm (69)
# Energy of formation from the pure elements: -4.0 eV/f.u.

***

No. 10
# PBE Ca2ZnAu2, optimized geometry
data_Ca2ZnAu2
_cell_length_a 5.660
_cell_length_b 5.660
_cell_length_c 5.660
_cell_angle_alpha 118.41
_cell_angle_beta 118.41
_cell_angle_gamma 92.78
_symmetry_space_group_name_H-M 'P 1'
_symmetry_Int_Tables_number 1
loop_
_symmetry_equiv_pos_as_xyz
'x,y,z'
loop_
_atom_site_label
_atom_site_fract_x
_atom_site_fract_y
_atom_site_fract_z
Ca1 0.250 0.750 0.500
Ca2 0.750 0.250 0.500
Zn1 0.000 0.000 0.000
Au1 0.329 0.329 0.000
Au2 0.671 0.671 0.000
# SG: I4/mmm (139)
# Energy of formation from the pure elements: -2.5 eV/f.u.

***

No. 11
# PBE Ca2Zn6Au9, optimized geometry
data_Ca2Zn6Au9
_cell_length_a 5.785
_cell_length_b 5.785
_cell_length_c 12.413
_cell_angle_alpha 90.00
_cell_angle_beta 90.00
_cell_angle_gamma 120.00
_symmetry_space_group_name_H-M 'P 1'
_symmetry_Int_Tables_number 1
loop_
_symmetry_equiv_pos_as_xyz
'x,y,z'
loop_
_atom_site_label
_atom_site_fract_x
_atom_site_fract_y
_atom_site_fract_z
Ca1 0.000 0.000 0.182
Ca2 0.000 0.000 0.818
Zn1 0.333 0.667 0.166
Zn2 0.333 0.667 0.500
Zn3 0.333 0.667 0.834
Zn4 0.667 0.333 0.166
Zn5 0.667 0.333 0.500
Zn6 0.667 0.333 0.834
Au1 0.000 0.500 0.000
Au2 0.000 0.500 0.333
Au3 0.000 0.500 0.667
Au4 0.500 0.000 0.000
Au5 0.500 0.000 0.333
Au6 0.500 0.000 0.667
Au7 0.500 0.500 0.000
Au8 0.500 0.500 0.333
Au9 0.500 0.500 0.667
# SG: P6/mmm (191)
# Energy of formation from the pure elements: -5.1 eV/f.u.

***

No. 12
# PBE CaZn7Au12, optimized geometry
data_CaZn7Au12
_cell_length_a 8.274
_cell_length_b 8.274
_cell_length_c 8.274
_cell_angle_alpha 109.47
_cell_angle_beta 109.47
_cell_angle_gamma 109.47
_symmetry_space_group_name_H-M 'P 1'
_symmetry_Int_Tables_number 1
loop_
_symmetry_equiv_pos_as_xyz
'x,y,z'
loop_
_atom_site_label
_atom_site_fract_x
_atom_site_fract_y
_atom_site_fract_z
Ca1 0.000 0.000 0.000
Zn1 0.000 0.000 0.500
Zn2 0.000 0.500 0.000
Zn3 0.000 0.500 0.500
Zn4 0.500 0.000 0.000
Zn5 0.500 0.000 0.500
Zn6 0.500 0.500 0.000
Zn7 0.500 0.500 0.500
Au1 0.124 0.278 0.846
Au2 0.154 0.432 0.278
Au3 0.154 0.876 0.722
Au4 0.278 0.154 0.432
Au5 0.278 0.846 0.124
Au6 0.432 0.278 0.154
Au7 0.568 0.722 0.846
Au8 0.722 0.154 0.876
Au9 0.722 0.846 0.568
Au10 0.846 0.124 0.278
Au11 0.846 0.568 0.722
Au12 0.876 0.722 0.154
# SG: Im-3 (204)
# Energy of formation from the pure elements: -0.4 eV/f.u.

***

M_tot (computed, μB per cell): 0.0 0.0 0.0 0.0 0.0 0.0 0.0 0.0 0.0 0.0 0.0 0.0
Total DFT energy (no corrections) (computed, eV per cell): -87.19 -30.39 -45.31 -31.49 -36.84 -34.21 -17.74 -11.78 -38.13 -14.31 -46.27 -50.66